Entry 1:
This record from Alexandria describes CuMo after structural relaxation. The functional is GGA-PBE.

The space group is Cmmm (No. 65) and the conventional cell measures 3.7649, 11.6717 and 3.8165 Å, with angles of 90.00, 90.00 and 90.00 degrees. Symmetry generates all atoms from Cu at (0.0000, 0.0000, 0.0000), Cu at (0.0000, 0.1678, 0.5000), Mo at (0.0000, 0.3345, 0.0000) and Mo at (0.0000, 0.5000, 0.5000).

As for the energy relative to the elements: 0.568 eV per formula unit. For the density of states at the Fermi level, the calculation gives 12.5 states/eV/cell. The total magnetic moment is 0.0 μB per cell. The value obtained for the total energy is -7.18 eV per atom.

---

Entry 2:
This record from Alexandria describes CuMo after structural relaxation. The functional is GGA-PBE.

The space group is C2/m (No. 12) and the conventional cell measures 9.0149, 2.5742 and 4.8918 Å, with angles of 90.00, 96.71 and 90.00 degrees. Symmetry generates all atoms from Cu at (0.1279, 0.0000, 0.3856) and Mo at (0.1188, 0.5000, 0.8709).

As for the energy relative to the elements: 0.479 eV per formula unit. For the density of states at the Fermi level, the calculation gives 4.4 states/eV/cell. The total magnetic moment is 0.0 μB per cell. The value obtained for the total energy is -7.22 eV per atom.

---

Entry 3:
This record from Alexandria describes Cu4Mo5 after structural relaxation. The functional is GGA-PBE.

The space group is P6_3/mcm (No. 193) and the conventional cell measures 7.5199, 7.5199 and 5.2688 Å, with angles of 90.00, 90.00 and 120.00 degrees. Symmetry generates all atoms from Cu at (0.0000, 0.0000, 0.0000), Cu at (0.0000, 0.3242, 0.2500), Mo at (0.0000, 0.3421, 0.7500) and Mo at (0.3333, 0.6667, 0.0000).

As for the energy relative to the elements: 3.127 eV per formula unit. For the density of states at the Fermi level, the calculation gives 13.1 states/eV/cell. The total magnetic moment is 0.0 μB per cell. The calculation puts the excess energy over the best structure of this formula in the dataset at 0.161 eV per atom. The value obtained for the total energy is -7.49 eV per atom.

---

Entry 4:
This record from Alexandria describes CuMo3 after structural relaxation. The functional is GGA-PBE.

The space group is P2/m (No. 10) and the conventional cell measures 2.6361, 4.4465 and 5.2340 Å, with angles of 90.00, 99.68 and 90.00 degrees. Symmetry generates all atoms from Cu at (0.0000, 0.0000, 0.0000), Mo at (0.2622, 0.5000, 0.7530) and Mo at (0.5000, 0.0000, 0.5000).

As for the energy relative to the elements: 0.814 eV per formula unit. For the density of states at the Fermi level, the calculation gives 3.5 states/eV/cell. The total magnetic moment is 0.0 μB per cell. The value obtained for the total energy is -8.94 eV per atom.

---

Entry 5:
This record from Alexandria describes CuMo after structural relaxation. The functional is GGA-PBE.

The space group is I4_1/amd (No. 141, origin choice 2) and the conventional cell measures 3.7955, 3.7955 and 7.8142 Å, with angles of 90.00, 90.00 and 90.00 degrees. Symmetry generates all atoms from Cu at (0.0000, 0.2500, 0.3750) and Mo at (0.0000, 0.2500, 0.8750).

As for the energy relative to the elements: 0.580 eV per formula unit. For the density of states at the Fermi level, the calculation gives 6.4 states/eV/cell. The total magnetic moment is 0.0 μB per cell. The value obtained for the total energy is -7.17 eV per atom.

---

Entry 6:
This record from Alexandria describes CuMo3 after structural relaxation. The functional is GGA-PBE.

The space group is Pmmm (No. 47) and the conventional cell measures 2.5861, 4.2588 and 5.5275 Å, with angles of 90.00, 90.00 and 90.00 degrees. Symmetry generates all atoms from Cu at (0.0000, 0.0000, 0.0000), Mo at (0.0000, 0.0000, 0.5000) and Mo at (0.5000, 0.5000, 0.2417).

As for the energy relative to the elements: 1.136 eV per formula unit. For the density of states at the Fermi level, the calculation gives 3.2 states/eV/cell. The total magnetic moment is 0.0 μB per cell. The value obtained for the total energy is -8.86 eV per atom.

---

Entry 7:
This record from Alexandria describes CuMo2 after structural relaxation. The functional is GGA-PBE.

The space group is Immm (No. 71) and the conventional cell measures 2.5532, 4.2233 and 8.2574 Å, with angles of 90.00, 90.00 and 90.00 degrees. Symmetry generates all atoms from Cu at (0.0000, 0.0000, 0.0000) and Mo at (0.0000, 0.0000, 0.3372).

As for the energy relative to the elements: 0.706 eV per formula unit. For the density of states at the Fermi level, the calculation gives 3.4 states/eV/cell. The total magnetic moment is 0.0 μB per cell. The calculation puts the excess energy over the best structure of this formula in the dataset at 0.012 eV per atom. The value obtained for the total energy is -8.35 eV per atom.

---

Entry 8:
This record from Alexandria describes CuMo after structural relaxation. The functional is GGA-PBE.

The space group is Fddd (No. 70, origin choice 2) and the conventional cell measures 3.8280, 7.9532 and 15.6216 Å, with angles of 90.00, 90.00 and 90.00 degrees. Symmetry generates all atoms from Cu at (0.1250, 0.2868, 0.1250) and Mo at (0.1250, 0.1250, 0.5397).

As for the energy relative to the elements: 1.070 eV per formula unit. For the density of states at the Fermi level, the calculation gives 23.9 states/eV/cell. The total magnetic moment is 0.0 μB per cell. The value obtained for the total energy is -6.93 eV per atom.

---

Entry 9:
This record from Alexandria describes CuMo4 after structural relaxation. The functional is GGA-PBE.

The space group is I4/mmm (No. 139) and the conventional cell measures 4.1077, 4.1077 and 11.0574 Å, with angles of 90.00, 90.00 and 90.00 degrees. Symmetry generates all atoms from Cu at (0.0000, 0.0000, 0.0000), Mo at (0.0000, 0.0000, 0.3843) and Mo at (0.0000, 0.5000, 0.2500).

As for the energy relative to the elements: 4.911 eV per formula unit. For the density of states at the Fermi level, the calculation gives 7.8 states/eV/cell. The total magnetic moment is 0.0 μB per cell. The calculation puts the excess energy over the best structure of this formula in the dataset at 0.685 eV per atom. The value obtained for the total energy is -8.50 eV per atom.

---

Entry 10:
This record from Alexandria describes CuMo after structural relaxation. The functional is GGA-PBE.

The space group is Fm-3m (No. 225) and the conventional cell measures 4.9865, 4.9865 and 4.9865 Å, with angles of 90.00, 90.00 and 90.00 degrees. Symmetry generates all atoms from Cu at (0.0000, 0.0000, 0.0000) and Mo at (0.0000, 0.0000, 0.5000).

As for the energy relative to the elements: 2.233 eV per formula unit. For the density of states at the Fermi level, the calculation gives 9.1 states/eV/cell. The total magnetic moment is 0.0 μB per cell. The value obtained for the total energy is -6.35 eV per atom.

---

Entry 11:
This record from Alexandria describes CuMo3 after structural relaxation. The functional is GGA-PBE.

The space group is P4/mmm (No. 123) and the conventional cell measures 3.2547, 3.2547 and 5.6606 Å, with angles of 90.00, 90.00 and 90.00 degrees. Symmetry generates all atoms from Cu at (0.0000, 0.0000, 0.0000), Mo at (0.0000, 0.0000, 0.5000) and Mo at (0.5000, 0.5000, 0.2400).

As for the energy relative to the elements: 0.891 eV per formula unit. For the density of states at the Fermi level, the calculation gives 3.9 states/eV/cell. The total magnetic moment is 0.0 μB per cell. The value obtained for the total energy is -8.92 eV per atom.

---

Entry 12:
This record from Alexandria describes CuMo2 after structural relaxation. The functional is GGA-PBE.

The space group is I4_1/amd (No. 141, origin choice 2) and the conventional cell measures 2.6047, 2.6047 and 26.5291 Å, with angles of 90.00, 90.00 and 90.00 degrees. Symmetry generates all atoms from Cu at (0.0000, 0.2500, 0.3750) and Mo at (0.0000, 0.2500, 0.7972).

As for the energy relative to the elements: 1.158 eV per formula unit. For the density of states at the Fermi level, the calculation gives 10.3 states/eV/cell. The total magnetic moment is 0.0 μB per cell. The calculation puts the excess energy over the best structure of this formula in the dataset at 0.162 eV per atom. The value obtained for the total energy is -8.20 eV per atom.